# 1
# AsIrRh2

A relaxed AsIrRh2 crystal (GGA-PBE, Alexandria via LeMat-Bulk).

abc: 3.9312 3.9312 7.6152
angles: 90.00 90.00 90.00
Space group I4/mmm (No. 139)
Asymmetric unit:
As1 0.0000 0.0000 0.0000 x2
Ir1 0.0000 0.0000 0.5000 x2
Rh1 0.0000 0.5000 0.2500 x4

Summary:
Total moment (μB per formula unit): 0.0
Energy of formation (eV/f.u.): 0.3
E_tot (eV/atom): -6.972

=====

# 2
# SiAs3F

A relaxed SiAs3F crystal (GGA-PBE, Alexandria via LeMat-Bulk).

abc: 4.5589 4.5589 4.5589
angles: 90.00 90.00 90.00
Space group Pm-3m (No. 221)
Asymmetric unit:
Si1 0.0000 0.0000 0.0000 x1
As1 0.0000 0.5000 0.5000 x3
F1 0.5000 0.5000 0.5000 x1

Summary:
Total moment (μB per formula unit): 0.0
E_tot (eV/atom): -3.768

=====

# 3
# HfTeIN2

A relaxed HfTeIN2 crystal (GGA-PBE, Alexandria via LeMat-Bulk).

abc: 4.1679 4.1679 5.7115
angles: 90.00 90.00 90.00
Space group P4/mmm (No. 123)
Asymmetric unit:
Hf1 0.0000 0.0000 0.0000 x1
Te1 0.5000 0.5000 0.0000 x1
I1 0.5000 0.5000 0.5000 x1
N1 0.0000 0.5000 0.5000 x2

Summary:
Total moment (μB per formula unit): 0.0
E_tot (eV/atom): -4.515

=====

# 4
# SrMn2Se

A relaxed SrMn2Se crystal (GGA-PBE, Alexandria via LeMat-Bulk).

abc: 3.4682 4.9282 10.7718
angles: 90.00 90.00 90.00
Space group Immm (No. 71)
Asymmetric unit:
Sr1 0.0000 0.0000 0.0000 x2
Mn1 0.0000 0.5000 0.2125 x4
Se1 0.0000 0.0000 0.5000 x2

Summary:
Total moment (μB per formula unit): 8.3
E_tot (eV/atom): -5.822

=====

# 5
# K5BiS5

A relaxed K5BiS5 crystal (GGA-PBE, Alexandria via LeMat-Bulk).

abc: 14.4850 6.0919 8.6689
angles: 90.00 108.76 90.00
Space group C2/m (No. 12)
Asymmetric unit:
K1 0.0000 0.0000 0.0000 x2
K2 0.1740 0.5000 0.3523 x4
K3 0.1894 0.5000 0.8058 x4
Bi1 0.0000 0.0000 0.5000 x2
S1 0.0000 0.5000 0.5000 x2
S2 0.1328 0.0000 0.3505 x4
S3 0.1423 0.0000 0.7919 x4

Summary:
Total moment (μB per formula unit): 0.3
E_tot (eV/atom): -3.461

=====

# 6
# NdGaF

A relaxed NdGaF crystal (GGA-PBE, Alexandria via LeMat-Bulk).

abc: 3.4159 3.4159 11.3457
angles: 90.00 90.00 90.00
Space group I4mm (No. 107)
Asymmetric unit:
Nd1 0.0000 0.0000 0.0000 x2
Ga1 0.0000 0.0000 0.2879 x2
F1 0.0000 0.0000 0.5490 x2

Summary:
Total moment (μB per formula unit): 0.6
E_tot (eV/atom): -4.716

=====

# 7
# CsSc2Sn

A relaxed CsSc2Sn crystal (GGA-PBE, Alexandria via LeMat-Bulk).

abc: 3.5318 3.5318 34.5991
angles: 90.00 90.00 120.00
Space group R-3m (No. 166, hexagonal axes)
Asymmetric unit:
Cs1 0.0000 0.0000 0.0000 x3
Sc1 0.0000 0.0000 0.1018 x6
Sn1 0.0000 0.0000 0.5000 x3

Summary:
Total moment (μB per formula unit): 0.0
Energy of formation (eV/f.u.): 0.8
E_tot (eV/atom): -4.175

=====

# 8
# Mg3Si4

A relaxed Mg3Si4 crystal (GGA-PBE, Alexandria via LeMat-Bulk).

abc: 13.8186 4.5463 8.4684
angles: 90.00 106.50 90.00
Space group Cm (No. 8)
Asymmetric unit:
Mg1 0.0000 0.0000 0.0000 x2
Mg2 0.0315 0.0000 0.3647 x2
Mg3 0.0702 0.5000 0.6210 x2
Mg4 0.2245 0.5000 0.4055 x2
Mg5 0.2870 0.5000 0.8023 x2
Mg6 0.3672 0.0000 0.3775 x2
Si1 0.0402 0.5000 0.1865 x2
Si2 0.1363 0.5000 0.9746 x2
Si3 0.1383 0.0000 0.8313 x2
Si4 0.2227 0.0000 0.5999 x2
Si5 0.3110 0.5000 0.1427 x2
Si6 0.3611 0.0000 0.0372 x2
Si7 0.4014 0.0000 0.7602 x2
Si8 0.4549 0.5000 0.6458 x2

Summary:
Total moment (μB per formula unit): 0.0
E_tot (eV/atom): -3.691